1.
VASP calculation (PBE) on an optimized crystal structure of PmErMg2Ag4.

Structure (POSCAR):
```
PmErMg2Ag4
1.0
4.9882 0.0000 0.0000
2.4941 4.3199 0.0000
2.4941 1.4400 8.0946
Ag Pm Mg Er
4 1 2 1
Direct
0.3776 0.3776 0.8674
0.8714 0.8714 0.3857
0.1286 0.1286 0.6143
0.6224 0.6224 0.1326
0.0000 0.0000 0.0000
0.2496 0.2496 0.2512
0.7504 0.7504 0.7488
0.5000 0.5000 0.5000
```

Calculated values
symmetry = R-3m (166)
formation enthalpy at 0 K = -224 kJ/mol of formula units

***

2.
VASP calculation (PBE) on an optimized crystal structure of BaY2Sb.

Structure (POSCAR):
```
BaY2Sb
1.0
-3.3438 5.1316 1.2482
-0.5687 -2.5531 -6.3535
-3.1199 -1.8880 0.0551
Y Ba Sb
2 1 1
Direct
0.0000 0.0000 0.0000
0.5000 0.0000 0.5000
0.0000 0.5000 0.5000
0.5000 0.5000 0.0000
```

Calculated values
symmetry = C2/m (12)
formation energy (no corrections) = -0.190 eV/atom

***

3.
VASP calculation (PBE) on an optimized crystal structure of Ac4Bi5H.

Structure (POSCAR):
```
Ac4Bi5H
1.0
-4.7923 0.3165 -0.1232
-2.6632 -0.4914 8.6582
-1.8043 8.8604 -0.7324
Ac Bi H
4 5 1
Direct
0.2500 0.6809 0.3191
0.2500 0.3191 0.6809
0.0503 0.1997 0.1997
0.4497 0.8003 0.8003
0.5929 0.9684 0.3458
0.5929 0.3458 0.9684
0.7500 0.5000 0.5000
0.9071 0.0316 0.6542
0.9071 0.6542 0.0316
0.2500 0.0000 0.0000
```

Calculated values
calculated total energy = -45.7 eV for the cell shown
symmetry = Immm (71)

***

4.
VASP calculation (PBE) on an optimized crystal structure of Be2Ru.

Structure (POSCAR):
```
Be2Ru
1.0
-0.3560 -2.6837 1.0739
2.7291 -0.6694 -0.7658
-0.0152 2.8027 3.0433
Ru Be
1 2
Direct
0.5000 0.5000 0.0000
0.8392 0.8392 0.6783
0.1608 0.1608 0.3217
```

Calculated values
energy above the lowest structure with this stoichiometry = 130.8 meV/atom
symmetry = I4/mmm (139)
formation enthalpy at 0 K = -63 kJ/mol of formula units

***

5.
VASP calculation (PBE) on an optimized crystal structure of SiSe.

Structure (POSCAR):
```
SiSe
1.0
-3.3791 0.5986 -1.1473
0.8125 -3.0881 1.7018
-5.5085 10.5137 21.7089
Si Se
6 6
Direct
0.0000 0.0000 0.7009
0.0000 0.0000 0.2991
0.6667 0.3333 0.3649
0.3333 0.6667 0.9671
0.3333 0.6667 0.6351
0.6667 0.3333 0.0329
0.0000 0.0000 0.0867
0.3333 0.6667 0.4187
0.0000 0.0000 0.9133
0.6667 0.3333 0.7547
0.6667 0.3333 0.5813
0.3333 0.6667 0.2453
```

Calculated values
symmetry = P-3m1 (164)
formation energy (no corrections) = -0.211 eV/atom

***

6.
VASP calculation (PBE) on an optimized crystal structure of AlIn2GeW.

Structure (POSCAR):
```
AlIn2GeW
1.0
5.1909 0.0000 0.0000
0.0000 4.7919 0.0000
0.0000 0.0000 5.1909
In Ge Al W
2 1 1 1
Direct
0.5000 0.0000 0.0000
0.0000 0.0000 0.5000
0.0000 0.5000 0.0000
0.0000 0.0000 0.0000
0.5000 0.5000 0.5000
```

Calculated values
energy above the lowest structure with this stoichiometry = 172.8 meV/atom
symmetry = P4/mmm (123)
formation enthalpy at 0 K = 699 kJ/mol of formula units

***

7.
VASP calculation (PBE) on an optimized crystal structure of NaAc2As4Rh3.

Structure (POSCAR):
```
NaAc2As4Rh3
1.0
-0.1656 -0.7737 4.4334
4.4813 0.3797 0.2336
-0.9435 10.0763 1.7233
As Ac Rh Na
4 2 3 1
Direct
0.5000 0.5000 0.0000
0.0000 0.5000 0.3536
0.0000 0.0000 0.0000
0.5000 0.0000 0.6464
0.5000 0.0000 0.2421
0.0000 0.5000 0.7579
0.5000 0.0000 0.8920
0.0000 0.5000 0.1080
0.0000 0.0000 0.5000
0.5000 0.5000 0.5000
```

Calculated values
symmetry = P-4m2 (115)
formation enthalpy at 0 K = -797 kJ/mol of formula units

***

8.
VASP calculation (PBE) on an optimized crystal structure of Cr4CdRh.

Structure (POSCAR):
```
Cr4CdRh
1.0
1.5698 -2.8417 -3.5881
0.0121 -4.8075 0.5499
-3.1382 -2.7263 -2.4765
Rh Cr Cd
1 4 1
Direct
0.7500 0.7500 0.7500
0.3727 0.3727 0.3727
0.8818 0.3727 0.3727
0.3727 0.8818 0.3727
0.3727 0.3727 0.8818
0.0000 0.0000 0.0000
```

Calculated values
symmetry = F-43m (216)
formation enthalpy at 0 K = 141 kJ/mol of formula units

***

9.
VASP calculation (PBE) on an optimized crystal structure of ErPuSc2.

Structure (POSCAR):
```
ErPuSc2
1.0
-3.7669 -2.7535 2.5302
-1.8225 -4.5316 -2.0774
1.1896 -4.6375 2.2917
Sc Er Pu
2 1 1
Direct
0.7500 0.7500 0.7500
0.2500 0.2500 0.2500
0.5000 0.5000 0.5000
0.0000 0.0000 0.0000
```

Calculated values
energy above the lowest structure with this stoichiometry = 44.6 meV/atom
symmetry = Fm-3m (225)
formation enthalpy at 0 K = 52 kJ/mol of formula units

***

10.
VASP calculation (PBE) on an optimized crystal structure of Sm2Tm3Bi2P2.

Structure (POSCAR):
```
Sm2Tm3Bi2P2
1.0
-2.0014 -1.9846 4.2623
1.1561 -4.6979 -1.6446
9.3818 3.9707 3.1910
Bi Tm P Sm
2 3 2 2
Direct
0.8407 0.8407 0.6814
0.1593 0.1593 0.3186
0.2500 0.7500 0.5000
0.7500 0.2500 0.5000
0.0000 0.0000 0.0000
0.0000 0.5000 0.0000
0.5000 0.0000 0.0000
0.4196 0.4196 0.8392
0.5804 0.5804 0.1608
```

Calculated values
symmetry = I4/mmm (139)
formation enthalpy at 0 K = -679 kJ/mol of formula units

***

11.
VASP calculation (PBE) on an optimized crystal structure of SmTh2BeN4.

Structure (POSCAR):
```
SmTh2BeN4
1.0
3.7032 0.0000 0.0000
-1.8516 6.0880 0.0000
0.0000 0.0000 11.2022
N Th Be Sm
8 4 2 2
Direct
0.7335 0.4670 0.8822
0.7335 0.4670 0.6178
0.4674 0.9347 0.7500
0.0000 0.0000 0.5000
0.2665 0.5330 0.3822
0.5326 0.0653 0.2500
0.0000 0.0000 0.0000
0.2665 0.5330 0.1178
0.6285 0.2570 0.0667
0.6285 0.2570 0.4333
0.3715 0.7430 0.5667
0.3715 0.7430 0.9333
0.2330 0.4660 0.2500
0.7670 0.5340 0.7500
0.9116 0.8231 0.2500
0.0884 0.1769 0.7500
```

Calculated values
symmetry = Cmcm (63)
formation energy (no corrections) = -1.323 eV/atom

***

12.
VASP calculation (PBE) on an optimized crystal structure of Pr8As3Se4.

Structure (POSCAR):
```
Pr8As3Se4
1.0
8.5269 -0.1260 -0.1810
-4.1660 7.4473 0.1406
-4.1660 -2.4534 7.0330
Pr Se As
8 4 3
Direct
0.5014 0.2532 0.2532
0.9938 0.7497 0.7497
0.0000 0.2486 0.7514
0.5000 0.7465 0.2535
0.5000 0.2535 0.7465
0.4986 0.7468 0.7468
0.0062 0.2503 0.2503
0.0000 0.7514 0.2486
0.0000 0.0000 0.0000
0.0000 0.5000 0.0000
0.5000 0.0000 0.0000
0.0000 0.0000 0.5000
0.5000 0.0000 0.5000
0.5000 0.5000 0.5000
0.5000 0.5000 0.0000
```

Calculated values
symmetry = C2/m (12)
formation energy (no corrections) = -1.598 eV/atom

***

13.
VASP calculation (PBE) on an optimized crystal structure of Dy6Tm12Pu.

Structure (POSCAR):
```
Dy6Tm12Pu
1.0
8.3531 0.4919 0.5893
-0.7801 8.3311 0.5893
-0.7801 -0.9089 8.3023
Tm Pu Dy
12 1 6
Direct
0.9469 0.8516 0.6279
0.0531 0.1484 0.3721
0.2081 0.4756 0.5349
0.7919 0.5244 0.4651
0.5349 0.2081 0.4756
0.3721 0.0531 0.1484
0.4756 0.5349 0.2081
0.4651 0.7919 0.5244
0.1484 0.3721 0.0531
0.5244 0.4651 0.7919
0.8516 0.6279 0.9469
0.6279 0.9469 0.8516
0.0000 0.0000 0.0000
0.8806 0.2593 0.7303
0.2593 0.7303 0.8806
0.7303 0.8806 0.2593
0.1194 0.7407 0.2697
0.7407 0.2697 0.1194
0.2697 0.1194 0.7407
```

Calculated values
symmetry = R-3 (148)
formation enthalpy at 0 K = 295 kJ/mol of formula units

***

14.
VASP calculation (PBE) on an optimized crystal structure of AlSbMo2.

Structure (POSCAR):
```
AlSbMo2
1.0
4.4997 0.0980 0.0000
-0.1096 4.4994 0.0000
0.0000 0.0000 3.3259
Al Mo Sb
1 2 1
Direct
0.0000 0.5000 0.5000
0.5000 0.5000 0.0000
0.0000 0.0000 0.0000
0.5000 0.0000 0.5000
```

Calculated values
energy above the lowest structure with this stoichiometry = 287.4 meV/atom
symmetry = Cmmm (65)
formation energy (no corrections) = 0.233 eV/atom

***

15.
VASP calculation (PBE) on an optimized crystal structure of Be2CdMo.

Structure (POSCAR):
```
Be2CdMo
1.0
-1.3577 3.6072 -0.1228
-1.6881 -0.7095 -2.1782
-4.3060 -1.5532 1.9822
Cd Be Mo
1 2 1
Direct
0.0000 0.4627 0.4492
0.5000 0.0585 0.2553
0.0000 0.1964 0.9838
0.5000 0.7824 0.8117
```

Calculated values
symmetry = Pm (6)
formation enthalpy at 0 K = 106 kJ/mol of formula units

***

16.
VASP calculation (PBE) on an optimized crystal structure of HfTaCd.

Structure (POSCAR):
```
HfTaCd
1.0
-0.8096 2.8891 -1.4423
-3.0057 -1.2164 -0.7494
-3.9861 3.7916 9.8320
Cd Ta Hf
2 2 2
Direct
0.3726 0.7910 0.3428
0.8725 0.2908 0.1695
0.8724 0.2912 0.8257
0.3724 0.7912 0.6866
0.8724 0.2912 0.5312
0.3724 0.7912 0.9811
```

Calculated values
energy above the lowest structure with this stoichiometry = 0.0 meV/atom
symmetry = P4/nmm (129)
formation enthalpy at 0 K = 0 kJ/mol of formula units

***

17.
VASP calculation (PBE) on an optimized crystal structure of Sm4OsI5.

Structure (POSCAR):
```
Sm4OsI5
1.0
-1.5691 2.0604 3.3561
-2.3953 -8.0234 3.8059
9.8822 0.4231 1.6833
Sm Os I
4 1 5
Direct
0.3596 0.9270 0.7192
0.0000 0.7925 0.9999
0.6404 0.0730 0.2808
0.0000 0.2075 0.0001
0.5000 0.0000 0.0000
0.8261 0.1671 0.6522
0.1680 0.3395 0.3359
0.8320 0.6605 0.6641
0.5000 0.5000 0.0000
0.1739 0.8329 0.3478
```

Calculated values
symmetry = C2/m (12)
formation energy (no corrections) = -1.054 eV/atom

***

18.
VASP calculation (PBE) on an optimized crystal structure of Ge2BiSe2.

Structure (POSCAR):
```
Ge2BiSe2
1.0
5.3506 0.0000 0.0000
0.0000 5.3506 0.0000
2.6753 2.6753 4.5432
Ge Se Bi
2 2 1
Direct
0.7500 0.2500 0.5000
0.2500 0.7500 0.5000
0.3260 0.3260 0.3480
0.6740 0.6740 0.6520
0.0000 0.0000 0.0000
```

Calculated values
energy above the lowest structure with this stoichiometry = 69.9 meV/atom
symmetry = I4/mmm (139)
formation energy (no corrections) = 0.117 eV/atom

***

19.
VASP calculation (PBE) on an optimized crystal structure of Nd2ErPaBi4.

Structure (POSCAR):
```
Nd2ErPaBi4
1.0
-4.3823 -0.8763 -0.7214
0.8721 -7.0687 3.2883
-1.9598 5.2267 5.5565
Bi Er Pa Nd
4 1 1 2
Direct
0.0000 0.7460 0.2389
0.5000 0.2486 0.2411
0.5000 0.7514 0.7589
0.0000 0.2540 0.7611
0.5000 0.5000 0.0000
0.0000 0.0000 0.0000
0.5000 0.0000 0.5000
0.0000 0.5000 0.5000
```

Calculated values
symmetry = P2/m (10)
formation enthalpy at 0 K = -532 kJ/mol of formula units

***

20.
VASP calculation (PBE) on an optimized crystal structure of KMg3Se.

Structure (POSCAR):
```
KMg3Se
1.0
-2.0245 -0.9907 5.8879
5.9701 -0.4253 1.9812
0.0859 6.2117 1.0747
Mg K Se
3 1 1
Direct
0.0000 0.0000 0.5000
0.5000 0.0000 0.0000
0.0000 0.5000 0.0000
0.0000 0.0000 0.0000
0.5000 0.5000 0.5000
```

Calculated values
energy above the lowest structure with this stoichiometry = 952.2 meV/atom
symmetry = Pm-3m (221)
formation energy (no corrections) = 0.997 eV/atom

***

| no. | DOS(E_F) (states/eV/cell) |
| --- | --- |
| 1 | 6.5 |
| 2 | 4.3 |
| 3 | 5.4 |
| 4 | 1.7 |
| 5 | 0.8 |
| 6 | 3.3 |
| 7 | 5.1 |
| 8 | 7.1 |
| 9 | 7.5 |
| 10 | 5.6 |
| 11 | 5.9 |
| 12 | 7.1 |
| 13 | 34.7 |
| 14 | 5.5 |
| 15 | 1.5 |
| 16 | 4.0 |
| 17 | 6.3 |
| 18 | 3.3 |
| 19 | 7.4 |
| 20 | 5.4 |